Model a:
Entry from Alexandria: a relaxed Pm2InF crystal (PBE).

```
data_Pm2InF
_space_group_name_H-M_alt 'R -3 m'
_space_group_IT_number 166
_space_group_name_Hall '-R 3 2"'
_cell_length_a 3.7921
_cell_length_b 3.7921
_cell_length_c 23.3642
_cell_angle_alpha 90.00
_cell_angle_beta 90.00
_cell_angle_gamma 120.00
loop_
_atom_site_label
_atom_site_type_symbol
_atom_site_fract_x
_atom_site_fract_y
_atom_site_fract_z
Pm1 Pm 0.0000 0.0000 0.2290
In1 In 0.0000 0.0000 0.0000
F1 F 0.0000 0.0000 0.5000
```



Model b:
Entry from Alexandria: a relaxed Pm2InF crystal (PBE).

```
data_Pm2InF
_space_group_name_H-M_alt 'P 4/m m m'
_space_group_IT_number 123
_space_group_name_Hall '-P 4 2'
_cell_length_a 3.350
_cell_length_b 3.350
_cell_length_c 8.179
_cell_angle_alpha 90.00
_cell_angle_beta 90.00
_cell_angle_gamma 90.00
loop_
_atom_site_label
_atom_site_type_symbol
_atom_site_fract_x
_atom_site_fract_y
_atom_site_fract_z
Pm1 Pm 0.000 0.000 0.228
In1 In 0.500 0.500 0.500
F1 F 0.500 0.500 0.000
```



Of them, model a has the highest stability.



Model a:
Entry from Alexandria: a relaxed Pu2InF8 crystal (PBE).

```
data_Pu2InF8
_space_group_name_H-M_alt 'C 1 2/m 1'
_space_group_IT_number 12
_cell_length_a 11.181
_cell_length_b 7.189
_cell_length_c 4.620
_cell_angle_alpha 90.00
_cell_angle_beta 91.53
_cell_angle_gamma 90.00
loop_
_space_group_symop_operation_xyz
'x,y,z'
'-x,-y,-z'
'-x,y,-z'
'x,-y,z'
'x+1/2,y+1/2,z'
'-x+1/2,-y+1/2,-z'
'-x+1/2,y+1/2,-z'
'x+1/2,-y+1/2,z'
loop_
_atom_site_label
_atom_site_type_symbol
_atom_site_fract_x
_atom_site_fract_y
_atom_site_fract_z
Pu1 Pu 0.175 0.000 0.490
In1 In 0.000 0.500 0.000
F1 F 0.005 0.000 0.751
F2 F 0.144 0.313 0.480
F3 F 0.225 0.000 0.000
```



Model b:
Entry from Alexandria: a relaxed Pu2InF8 crystal (PBE).

```
data_Pu2InF8
_space_group_name_H-M_alt 'C 1 m 1'
_space_group_IT_number 8
_cell_length_a 7.156
_cell_length_b 11.255
_cell_length_c 4.489
_cell_angle_alpha 90.00
_cell_angle_beta 97.00
_cell_angle_gamma 90.00
loop_
_space_group_symop_operation_xyz
'x,y,z'
'x,-y,z'
'x+1/2,y+1/2,z'
'x+1/2,-y+1/2,z'
loop_
_atom_site_label
_atom_site_type_symbol
_atom_site_fract_x
_atom_site_fract_y
_atom_site_fract_z
Pu1 Pu 0.000 0.174 0.000
In1 In 0.493 0.000 0.557
F1 F 0.109 0.000 0.246
F2 F 0.188 0.348 0.071
F3 F 0.312 0.150 0.914
F4 F 0.393 0.500 0.753
F5 F 0.499 0.282 0.499
```



Of them, model b has the highest stability.



Model a:
Entry from Alexandria: a relaxed Rb2InF4 crystal (PBE).

```
data_Rb2InF4
_space_group_name_H-M_alt 'P 1 21/m 1'
_space_group_IT_number 11
_cell_length_a 7.596
_cell_length_b 5.686
_cell_length_c 7.620
_cell_angle_alpha 90.00
_cell_angle_beta 106.30
_cell_angle_gamma 90.00
loop_
_space_group_symop_operation_xyz
'x,y,z'
'-x,-y,-z'
'-x,y+1/2,-z'
'x,-y+1/2,z'
loop_
_atom_site_label
_atom_site_type_symbol
_atom_site_fract_x
_atom_site_fract_y
_atom_site_fract_z
Rb1 Rb 0.071 0.250 0.377
Rb2 Rb 0.375 0.750 0.071
In1 In 0.418 0.750 0.583
F1 F 0.178 0.750 0.348
F2 F 0.290 0.503 0.711
F3 F 0.346 0.250 0.179
```



Model b:
Entry from Alexandria: a relaxed Rb2InF4 crystal (PBE).

```
data_Rb2InF4
_space_group_name_H-M_alt 'I 4/m m m'
_space_group_IT_number 139
_space_group_name_Hall '-I 4 2'
_cell_length_a 4.578
_cell_length_b 4.578
_cell_length_c 14.383
_cell_angle_alpha 90.00
_cell_angle_beta 90.00
_cell_angle_gamma 90.00
loop_
_atom_site_label
_atom_site_type_symbol
_atom_site_fract_x
_atom_site_fract_y
_atom_site_fract_z
Rb1 Rb 0.000 0.000 0.148
In1 In 0.000 0.000 0.500
F1 F 0.000 0.000 0.339
F2 F 0.000 0.500 0.000
```



Of them, model b has the highest stability.



Model a:
Entry from Alexandria: a relaxed Rb3InF4 crystal (PBE).

```
data_Rb3InF4
_space_group_name_H-M_alt 'P n m a'
_space_group_IT_number 62
_cell_length_a 7.109
_cell_length_b 8.192
_cell_length_c 14.355
_cell_angle_alpha 90.00
_cell_angle_beta 90.00
_cell_angle_gamma 90.00
loop_
_space_group_symop_operation_xyz
'x,y,z'
'-x,-y,-z'
'-x+1/2,-y,z+1/2'
'x+1/2,y,-z+1/2'
'x+1/2,-y+1/2,-z+1/2'
'-x+1/2,y+1/2,z+1/2'
'-x,y+1/2,-z'
'x,-y+1/2,z'
loop_
_atom_site_label
_atom_site_type_symbol
_atom_site_fract_x
_atom_site_fract_y
_atom_site_fract_z
Rb1 Rb 0.137 0.250 0.039
Rb2 Rb 0.209 0.001 0.779
In1 In 0.156 0.250 0.540
F1 F 0.008 0.750 0.327
F2 F 0.047 0.250 0.228
F3 F 0.136 0.571 0.096
```



Model b:
Entry from Alexandria: a relaxed Rb3InF4 crystal (PBE).

```
data_Rb3InF4
_space_group_name_H-M_alt 'P m n 21'
_space_group_IT_number 31
_cell_length_a 11.146
_cell_length_b 5.809
_cell_length_c 5.815
_cell_angle_alpha 90.00
_cell_angle_beta 90.00
_cell_angle_gamma 90.00
loop_
_space_group_symop_operation_xyz
'x,y,z'
'-x+1/2,-y,z+1/2'
'-x,y,z'
'x+1/2,-y,z+1/2'
loop_
_atom_site_label
_atom_site_type_symbol
_atom_site_fract_x
_atom_site_fract_y
_atom_site_fract_z
Rb1 Rb 0.000 0.240 0.000
Rb2 Rb 0.250 0.251 0.508
In1 In 0.000 0.736 0.494
F1 F 0.000 0.124 0.504
F2 F 0.000 0.742 0.882
F3 F 0.248 0.755 0.514
```



Of them, model b has the highest stability.



Model a:
Entry from Alexandria: a relaxed RbInSbF2 crystal (PBE).

```
data_RbInSbF2
_space_group_name_H-M_alt 'P 4/m m m'
_space_group_IT_number 123
_space_group_name_Hall '-P 4 2'
_cell_length_a 4.892
_cell_length_b 4.892
_cell_length_c 6.180
_cell_angle_alpha 90.00
_cell_angle_beta 90.00
_cell_angle_gamma 90.00
loop_
_atom_site_label
_atom_site_type_symbol
_atom_site_fract_x
_atom_site_fract_y
_atom_site_fract_z
Rb1 Rb 0.000 0.000 0.000
In1 In 0.000 0.000 0.500
Sb1 Sb 0.500 0.500 0.500
F1 F 0.000 0.500 0.000
```



Model b:
Entry from Alexandria: a relaxed RbInSbF2 crystal (PBE).

```
data_RbInSbF2
_space_group_name_H-M_alt 'P 4/m m m'
_space_group_IT_number 123
_space_group_name_Hall '-P 4 2'
_cell_length_a 4.722
_cell_length_b 4.722
_cell_length_c 7.353
_cell_angle_alpha 90.00
_cell_angle_beta 90.00
_cell_angle_gamma 90.00
loop_
_atom_site_label
_atom_site_type_symbol
_atom_site_fract_x
_atom_site_fract_y
_atom_site_fract_z
Rb1 Rb 0.000 0.000 0.000
In1 In 0.500 0.500 0.000
Sb1 Sb 0.000 0.000 0.500
F1 F 0.000 0.500 0.500
```



Of them, model b has the highest stability.



Model a:
Entry from Alexandria: a relaxed Rb2TiInF6 crystal (PBE).

```
data_Rb2TiInF6
_space_group_name_H-M_alt 'R -3 m'
_space_group_IT_number 166
_space_group_name_Hall '-R 3 2"'
_cell_length_a 6.8571
_cell_length_b 6.8571
_cell_length_c 29.9285
_cell_angle_alpha 90.00
_cell_angle_beta 90.00
_cell_angle_gamma 120.00
loop_
_atom_site_label
_atom_site_type_symbol
_atom_site_fract_x
_atom_site_fract_y
_atom_site_fract_z
Rb1 Rb 0.0000 0.0000 0.1285
Rb2 Rb 0.0000 0.0000 0.2634
Ti1 Ti 0.0000 0.0000 0.0000
Ti2 Ti 0.0000 0.0000 0.5000
In1 In 0.0000 0.0000 0.3925
F1 F 0.0403 0.5202 0.1315
F2 F 0.0740 0.5370 0.7076
```



Model b:
Entry from Alexandria: a relaxed Rb2TiInF6 crystal (PBE).

```
data_Rb2TiInF6
_space_group_name_H-M_alt 'I 4/m m m'
_space_group_IT_number 139
_space_group_name_Hall '-I 4 2'
_cell_length_a 6.534
_cell_length_b 6.534
_cell_length_c 9.184
_cell_angle_alpha 90.00
_cell_angle_beta 90.00
_cell_angle_gamma 90.00
loop_
_atom_site_label
_atom_site_type_symbol
_atom_site_fract_x
_atom_site_fract_y
_atom_site_fract_z
Rb1 Rb 0.000 0.500 0.250
Ti1 Ti 0.000 0.000 0.000
In1 In 0.000 0.000 0.500
F1 F 0.000 0.000 0.214
F2 F 0.218 0.218 0.000
```



Of them, model b has the highest stability.



Model a:
Entry from Alexandria: a relaxed InReF3 crystal (PBE).

```
data_InReF3
_space_group_name_H-M_alt 'P m -3 m'
_space_group_IT_number 221
_space_group_name_Hall '-P 4 2 3'
_cell_length_a 4.501
_cell_length_b 4.501
_cell_length_c 4.501
_cell_angle_alpha 90.00
_cell_angle_beta 90.00
_cell_angle_gamma 90.00
loop_
_atom_site_label
_atom_site_type_symbol
_atom_site_fract_x
_atom_site_fract_y
_atom_site_fract_z
In1 In 0.000 0.000 0.000
Re1 Re 0.500 0.500 0.500
F1 F 0.000 0.000 0.500
```



Model b:
Entry from Alexandria: a relaxed InReF3 crystal (PBE).

```
data_InReF3
_space_group_name_H-M_alt 'P m -3 m'
_space_group_IT_number 221
_space_group_name_Hall '-P 4 2 3'
_cell_length_a 4.325
_cell_length_b 4.325
_cell_length_c 4.325
_cell_angle_alpha 90.00
_cell_angle_beta 90.00
_cell_angle_gamma 90.00
loop_
_atom_site_label
_atom_site_type_symbol
_atom_site_fract_x
_atom_site_fract_y
_atom_site_fract_z
In1 In 0.000 0.000 0.000
Re1 Re 0.500 0.500 0.500
F1 F 0.000 0.500 0.500
```



Of them, model b has the highest stability.



Model a:
Entry from Alexandria: a relaxed In2ReF crystal (PBE).

```
data_In2ReF
_space_group_name_H-M_alt 'I -4 2 d'
_space_group_IT_number 122
_space_group_name_Hall 'I -4 2bw'
_cell_length_a 6.788
_cell_length_b 6.788
_cell_length_c 6.546
_cell_angle_alpha 90.00
_cell_angle_beta 90.00
_cell_angle_gamma 90.00
loop_
_atom_site_label
_atom_site_type_symbol
_atom_site_fract_x
_atom_site_fract_y
_atom_site_fract_z
In1 In 0.206 0.250 0.125
Re1 Re 0.000 0.000 0.500
F1 F 0.000 0.000 0.000
```



Model b:
Entry from Alexandria: a relaxed In2ReF crystal (PBE).

```
data_In2ReF
_space_group_name_H-M_alt 'F m -3 m'
_space_group_IT_number 225
_space_group_name_Hall '-F 4 2 3'
_cell_length_a 6.681
_cell_length_b 6.681
_cell_length_c 6.681
_cell_angle_alpha 90.00
_cell_angle_beta 90.00
_cell_angle_gamma 90.00
loop_
_atom_site_label
_atom_site_type_symbol
_atom_site_fract_x
_atom_site_fract_y
_atom_site_fract_z
In1 In 0.250 0.250 0.250
Re1 Re 0.000 0.000 0.000
F1 F 0.000 0.000 0.500
```



Of them, model a has the highest stability.



Model a:
Entry from Alexandria: a relaxed In3ReF crystal (PBE).

```
data_In3ReF
_space_group_name_H-M_alt 'P m -3 m'
_space_group_IT_number 221
_space_group_name_Hall '-P 4 2 3'
_cell_length_a 4.666
_cell_length_b 4.666
_cell_length_c 4.666
_cell_angle_alpha 90.00
_cell_angle_beta 90.00
_cell_angle_gamma 90.00
loop_
_atom_site_label
_atom_site_type_symbol
_atom_site_fract_x
_atom_site_fract_y
_atom_site_fract_z
In1 In 0.000 0.000 0.500
Re1 Re 0.500 0.500 0.500
F1 F 0.000 0.000 0.000
```



Model b:
Entry from Alexandria: a relaxed In3ReF crystal (PBE).

```
data_In3ReF
_space_group_name_H-M_alt 'P m -3 m'
_space_group_IT_number 221
_space_group_name_Hall '-P 4 2 3'
_cell_length_a 5.231
_cell_length_b 5.231
_cell_length_c 5.231
_cell_angle_alpha 90.00
_cell_angle_beta 90.00
_cell_angle_gamma 90.00
loop_
_atom_site_label
_atom_site_type_symbol
_atom_site_fract_x
_atom_site_fract_y
_atom_site_fract_z
In1 In 0.000 0.000 0.500
Re1 Re 0.000 0.000 0.000
F1 F 0.500 0.500 0.500
```



Of them, model b has the highest stability.



Model a:
Entry from Alexandria: a relaxed SrIn2ReF crystal (PBE).

```
data_SrIn2ReF
_space_group_name_H-M_alt 'P 4/m m m'
_space_group_IT_number 123
_space_group_name_Hall '-P 4 2'
_cell_length_a 4.926
_cell_length_b 4.926
_cell_length_c 4.645
_cell_angle_alpha 90.00
_cell_angle_beta 90.00
_cell_angle_gamma 90.00
loop_
_atom_site_label
_atom_site_type_symbol
_atom_site_fract_x
_atom_site_fract_y
_atom_site_fract_z
Sr1 Sr 0.000 0.000 0.000
In1 In 0.000 0.500 0.500
Re1 Re 0.500 0.500 0.000
F1 F 0.000 0.000 0.500
```



Model b:
Entry from Alexandria: a relaxed SrIn2ReF crystal (PBE).

```
data_SrIn2ReF
_space_group_name_H-M_alt 'P 4/m m m'
_space_group_IT_number 123
_space_group_name_Hall '-P 4 2'
_cell_length_a 5.425
_cell_length_b 5.425
_cell_length_c 4.155
_cell_angle_alpha 90.00
_cell_angle_beta 90.00
_cell_angle_gamma 90.00
loop_
_atom_site_label
_atom_site_type_symbol
_atom_site_fract_x
_atom_site_fract_y
_atom_site_fract_z
Sr1 Sr 0.000 0.000 0.000
In1 In 0.000 0.500 0.500
Re1 Re 0.500 0.500 0.500
F1 F 0.500 0.500 0.000
```



Of them, model b has the highest stability.



Model a:
Entry from Alexandria: a relaxed InRhF2 crystal (PBE).

```
data_InRhF2
_space_group_name_H-M_alt 'R -3 m'
_space_group_IT_number 166
_space_group_name_Hall '-R 3 2"'
_cell_length_a 3.1286
_cell_length_b 3.1286
_cell_length_c 23.3640
_cell_angle_alpha 90.00
_cell_angle_beta 90.00
_cell_angle_gamma 120.00
loop_
_atom_site_label
_atom_site_type_symbol
_atom_site_fract_x
_atom_site_fract_y
_atom_site_fract_z
In1 In 0.0000 0.0000 0.0000
Rh1 Rh 0.0000 0.0000 0.5000
F1 F 0.0000 0.0000 0.0998
```



Model b:
Entry from Alexandria: a relaxed InRhF2 crystal (PBE).

```
data_InRhF2
_space_group_name_H-M_alt 'R -3 m'
_space_group_IT_number 166
_space_group_name_Hall '-R 3 2"'
_cell_length_a 2.9083
_cell_length_b 2.9083
_cell_length_c 24.0957
_cell_angle_alpha 90.00
_cell_angle_beta 90.00
_cell_angle_gamma 120.00
loop_
_atom_site_label
_atom_site_type_symbol
_atom_site_fract_x
_atom_site_fract_y
_atom_site_fract_z
In1 In 0.0000 0.0000 0.0000
Rh1 Rh 0.0000 0.0000 0.5000
F1 F 0.0000 0.0000 0.4166
```



Model c:
Entry from Alexandria: a relaxed InRhF2 crystal (PBE).

```
data_InRhF2
_space_group_name_H-M_alt 'F m -3 m'
_space_group_IT_number 225
_space_group_name_Hall '-F 4 2 3'
_cell_length_a 6.135
_cell_length_b 6.135
_cell_length_c 6.135
_cell_angle_alpha 90.00
_cell_angle_beta 90.00
_cell_angle_gamma 90.00
loop_
_atom_site_label
_atom_site_type_symbol
_atom_site_fract_x
_atom_site_fract_y
_atom_site_fract_z
In1 In 0.000 0.000 0.000
Rh1 Rh 0.000 0.000 0.500
F1 F 0.250 0.250 0.250
```



Of them, model b has the highest stability.